Density functional theory data (GGA-PBE) for LiFe2AuBr after structural relaxation.

a b c (Å): 4.769 6.905 4.769
angles (deg): 90.00 90.00 90.00
Site moments in Bohr magnetons follow the coordinates.
Element x y z (fractional)
1 Li 0.500 0.500 0.500  -0.01
2 Fe 0.000 0.000 0.500  3.60
3 Au 0.000 0.000 0.000  0.15
4 Fe 0.500 0.000 0.000  2.87
5 Br 0.000 0.500 0.000  0.01

Summary:
Final energy ... -3.9299 eV per atom
Formation energy without anion corrections ... 828 meV/atom

***

Density functional theory data (GGA-PBE) for Fe2PtAuBr after structural relaxation.

a b c (Å): 4.862 4.958 4.862
angles (deg): 90.00 90.00 90.00
Site moments in Bohr magnetons follow the coordinates.
Element x y z (fractional)
1 Br 0.000 0.500 0.000  -0.01
2 Pt 0.500 0.500 0.500  0.14
3 Fe 0.000 0.000 0.500  3.49
4 Au 0.000 0.000 0.000  0.07
5 Fe 0.500 0.000 0.000  2.89

Summary:
Final energy ... -4.0809 eV per atom
Formation energy without anion corrections ... 1502 meV/atom

***

Density functional theory data (GGA-PBE) for FeAuSeBr2 after structural relaxation.

a b c (Å): 5.115 5.115 4.395
angles (deg): 90.00 90.00 90.00
Element x y z (fractional)
1 Se 0.000 0.000 0.500
2 Br 0.500 0.000 0.000
3 Fe 0.000 0.000 0.000
4 Au 0.500 0.500 0.500
5 Br 0.000 0.500 0.000

Summary:
Final energy ... -3.2783 eV per atom
Relative energy among the computed polymorphs ... 0.0 meV/atom
Formation energy without anion corrections ... 436 meV/atom

***

Density functional theory data (GGA-PBE) for FeAuSeBr2 after structural relaxation.

a b c (Å): 5.157 5.157 5.320
angles (deg): 90.00 90.00 90.00
Site moments in Bohr magnetons follow the coordinates.
Element x y z (fractional)
1 Se 0.000 0.000 0.500  0.08
2 Br 0.500 0.000 0.000  0.03
3 Au 0.000 0.000 0.000  0.01
4 Fe 0.500 0.500 0.500  3.41
5 Br 0.000 0.500 0.000  0.03

Summary:
Final energy ... -2.9991 eV per atom
Relative energy among the computed polymorphs ... 279.2 meV/atom
Formation energy without anion corrections ... 715 meV/atom

***

Density functional theory data (GGA-PBE) for TaFe2AuBr after structural relaxation.

a b c (Å): 4.318 4.789 4.318
angles (deg): 90.00 90.00 90.00
Site moments in Bohr magnetons follow the coordinates.
Element x y z (fractional)
1 Fe 0.500 0.000 0.000  2.15
2 Au 0.500 0.500 0.500  -0.01
3 Br 0.000 0.000 0.000  -0.04
4 Ta 0.000 0.500 0.000  -0.36
5 Fe 0.000 0.000 0.500  1.99

Summary:
Final energy ... -5.6116 eV per atom
Formation energy without anion corrections ... 1134 meV/atom

***

Density functional theory data (GGA-PBE) for FeTeAuBr2 after structural relaxation.

a b c (Å): 4.587 5.615 4.587
angles (deg): 90.00 90.00 90.00
Element x y z (fractional)
1 Te 0.500 0.500 0.500
2 Br 0.500 0.000 0.000
3 Au 0.000 0.500 0.000
4 Fe 0.000 0.000 0.000
5 Br 0.000 0.000 0.500

Summary:
Final energy ... -3.1322 eV per atom
Formation energy without anion corrections ... 513 meV/atom

***

Density functional theory data (GGA-PBE) for TlFe2AuBr8 after structural relaxation.

a b c (Å): 7.440 7.966 9.765
angles (deg): 55.37 67.61 62.16
Site moments in Bohr magnetons follow the coordinates.
Element x y z (fractional)
1 Br 0.854 0.618 0.673  0.23
2 Br 0.652 0.970 0.231  0.17
3 Br 0.674 0.528 0.124  0.21
4 Fe 0.314 0.212 0.160  3.62
5 Fe 0.686 0.788 0.840  3.62
6 Br 0.348 0.030 0.769  0.17
7 Br 0.854 0.030 0.769  0.17
8 Br 0.326 0.472 0.876  0.21
9 Br 0.146 0.382 0.327  0.23
10 Tl 0.500 0.500 0.500  0.02
11 Au 0.000 0.000 0.000  0.12
12 Br 0.146 0.970 0.231  0.17

Summary:
Final energy ... -3.4306 eV per atom
Formation energy without anion corrections ... -435 meV/atom

***

Density functional theory data (GGA-PBE) for VFe2AuBr after structural relaxation.

a b c (Å): 4.481 5.048 4.481
angles (deg): 90.00 90.00 90.00
Site moments in Bohr magnetons follow the coordinates.
Element x y z (fractional)
1 Fe 0.500 0.000 0.000  2.25
2 Au 0.000 0.500 0.000  -0.08
3 Fe 0.000 0.000 0.500  2.65
4 Br 0.500 0.500 0.500  0.01
5 V 0.000 0.000 0.000  -1.79

Summary:
Final energy ... -5.0483 eV per atom
Formation energy without anion corrections ... 1151 meV/atom

***

Density functional theory data (GGA-PBE) for GaAu3Br after structural relaxation.

a b c (Å): 4.973 4.973 4.973
angles (deg): 90.00 90.00 90.00
Element x y z (fractional)
1 Au 0.000 0.000 0.500
2 Au 0.000 0.500 0.000
3 Br 0.500 0.500 0.500
4 Ga 0.000 0.000 0.000
5 Au 0.500 0.000 0.000

Summary:
Final energy ... -2.4815 eV per atom
Relative energy among the computed polymorphs ... 0.0 meV/atom
Formation energy without anion corrections ... 425 meV/atom

***

Density functional theory data (GGA-PBE) for GaAu2Br6 after structural relaxation.

a b c (Å): 11.322 9.853 9.853
angles (deg): 82.15 57.58 57.58
Element x y z (fractional)
1 Br 0.996 0.104 0.672
2 Au 0.996 0.361 0.376
3 Br 0.236 0.135 0.125
4 Br 0.496 0.672 0.104
5 Br 0.725 0.394 0.392
6 Br 0.775 0.608 0.606
7 Au 0.496 0.376 0.361
8 Ga 0.250 0.875 0.125
9 Br 0.264 0.875 0.865
10 Br 0.764 0.865 0.875
11 Ga 0.750 0.125 0.875
12 Br 0.504 0.328 0.896
13 Au 0.004 0.639 0.624
14 Br 0.225 0.392 0.394
15 Au 0.504 0.624 0.639
16 Br 0.736 0.125 0.135
17 Br 0.275 0.606 0.608
18 Br 0.004 0.896 0.328

Summary:
Final energy ... -2.5763 eV per atom
Formation energy without anion corrections ... -396 meV/atom

***

Density functional theory data (GGA-PBE) for Ga3AuBr after structural relaxation.

a b c (Å): 5.099 5.099 5.099
angles (deg): 90.00 90.00 90.00
Element x y z (fractional)
1 Br 0.500 0.500 0.500
2 Ga 0.000 0.500 0.000
3 Ga 0.000 0.000 0.500
4 Ga 0.500 0.000 0.000
5 Au 0.000 0.000 0.000

Summary:
Final energy ... -2.9788 eV per atom
Relative energy among the computed polymorphs ... 0.0 meV/atom
Formation energy without anion corrections ... -173 meV/atom

***

Density functional theory data (GGA-PBE) for Ga2Au2Br after structural relaxation.

a b c (Å): 7.876 7.876 3.347
angles (deg): 90.00 90.00 90.00
Element x y z (fractional)
1 Br 0.000 0.000 0.000
2 Au 0.373 0.873 0.000
3 Au 0.627 0.127 0.000
4 Ga 0.171 0.671 0.500
5 Ga 0.671 0.829 0.500
6 Ga 0.329 0.171 0.500
7 Ga 0.829 0.329 0.500
8 Br 0.500 0.500 0.000
9 Au 0.127 0.373 0.000
10 Au 0.873 0.627 0.000

Summary:
Final energy ... -2.9366 eV per atom
Relative energy among the computed polymorphs ... 63.9 meV/atom
Formation energy without anion corrections ... -80 meV/atom

***

Density functional theory data (GGA-PBE) for GaAuBr3 after structural relaxation.

a b c (Å): 5.354 5.354 5.354
angles (deg): 90.00 90.00 90.00
Element x y z (fractional)
1 Br 0.000 0.500 0.000
2 Au 0.000 0.000 0.000
3 Ga 0.500 0.500 0.500
4 Br 0.000 0.000 0.500
5 Br 0.500 0.000 0.000

Summary:
Final energy ... -2.4621 eV per atom
Relative energy among the computed polymorphs ... 0.0 meV/atom
Formation energy without anion corrections ... -198 meV/atom

***

Density functional theory data (GGA-PBE) for GaAuBr2 after structural relaxation.

a b c (Å): 6.561 6.561 8.153
angles (deg): 66.27 66.27 90.00
Element x y z (fractional)
1 Br 0.375 0.331 0.750
2 Ga 0.500 0.500 0.000
3 Au 0.000 0.000 0.000
4 Ga 0.250 0.750 0.500
5 Br 0.669 0.125 0.250
6 Br 0.081 0.625 0.250
7 Au 0.750 0.250 0.500
8 Br 0.875 0.919 0.750

Summary:
Final energy ... -2.5749 eV per atom
Relative energy among the computed polymorphs ... 125.4 meV/atom
Formation energy without anion corrections ... -162 meV/atom

***

Density functional theory data (GGA-PBE) for Ga3AuBr after structural relaxation.

a b c (Å): 5.572 5.572 5.572
angles (deg): 90.00 90.00 90.00
Element x y z (fractional)
1 Br 0.000 0.000 0.000
2 Ga 0.500 0.000 0.000
3 Ga 0.000 0.000 0.500
4 Au 0.500 0.500 0.500
5 Ga 0.000 0.500 0.000

Summary:
Final energy ... -2.3021 eV per atom
Relative energy among the computed polymorphs ... 676.7 meV/atom
Formation energy without anion corrections ... 504 meV/atom

***

Density functional theory data (GGA-PBE) for GaAuBr2 after structural relaxation.

a b c (Å): 8.325 8.325 8.325
angles (deg): 33.96 33.96 33.96
Element x y z (fractional)
1 Ga 0.500 0.500 0.500
2 Br 0.103 0.103 0.103
3 Br 0.897 0.897 0.897
4 Au 0.000 0.000 0.000

Summary:
Final energy ... -2.7003 eV per atom
Relative energy among the computed polymorphs ... 0.0 meV/atom
Formation energy without anion corrections ... -288 meV/atom

***

Density functional theory data (GGA-PBE) for GaAuBr2 after structural relaxation.

a b c (Å): 5.164 5.164 5.164
angles (deg): 60.00 60.00 60.00
Element x y z (fractional)
1 Br 0.750 0.750 0.750
2 Ga 0.000 0.000 0.000
3 Au 0.500 0.500 0.500
4 Br 0.250 0.250 0.250

Summary:
Final energy ... -2.4129 eV per atom
Relative energy among the computed polymorphs ... 287.4 meV/atom
Formation energy without anion corrections ... 0 meV/atom

***

Density functional theory data (GGA-PBE) for GaAuBr3 after structural relaxation.

a b c (Å): 5.189 5.189 5.189
angles (deg): 90.00 90.00 90.00
Element x y z (fractional)
1 Br 0.500 0.000 0.000
2 Au 0.500 0.500 0.500
3 Ga 0.000 0.000 0.000
4 Br 0.000 0.500 0.000
5 Br 0.000 0.000 0.500

Summary:
Final energy ... -2.2520 eV per atom
Relative energy among the computed polymorphs ... 210.2 meV/atom
Formation energy without anion corrections ... 13 meV/atom

***

Density functional theory data (GGA-PBE) for Ga2Au2Br after structural relaxation.

a b c (Å): 4.666 4.666 6.290
angles (deg): 68.23 68.23 90.00
Element x y z (fractional)
1 Ga 0.750 0.250 0.500
2 Au 0.632 0.632 0.736
3 Br 0.000 0.000 0.000
4 Au 0.368 0.368 0.264
5 Ga 0.250 0.750 0.500

Summary:
Final energy ... -3.0005 eV per atom
Relative energy among the computed polymorphs ... 0.0 meV/atom
Formation energy without anion corrections ... -144 meV/atom

***

Density functional theory data (GGA-PBE) for GaGe2AuBr after structural relaxation.

a b c (Å): 5.021 5.059 5.021
angles (deg): 90.00 90.00 90.00
Element x y z (fractional)
1 Ge 0.500 0.000 0.000
2 Ge 0.000 0.000 0.500
3 Ga 0.000 0.000 0.000
4 Au 0.500 0.500 0.500
5 Br 0.000 0.500 0.000

Summary:
Final energy ... -2.8612 eV per atom
Formation energy without anion corrections ... 581 meV/atom

***

Density functional theory data (GGA-PBE) for GaGeAu2Br after structural relaxation.

a b c (Å): 4.881 5.543 4.881
angles (deg): 90.00 90.00 90.00
Site moments in Bohr magnetons follow the coordinates.
Element x y z (fractional)
1 Au 0.000 0.000 0.500  0.00
2 Ga 0.000 0.000 0.000  0.00
3 Br 0.000 0.500 0.000  0.00
4 Ge 0.500 0.500 0.500  0.06
5 Au 0.500 0.000 0.000  0.00

Summary:
Final energy ... -2.7682 eV per atom
Formation energy without anion corrections ... 406 meV/atom

***

Density functional theory data (GGA-PBE) for GaHg2AuBr after structural relaxation.

a b c (Å): 5.447 5.447 5.036
angles (deg): 90.00 90.00 90.00
Element x y z (fractional)
1 Au 0.000 0.000 0.000
2 Br 0.500 0.500 0.500
3 Hg 0.500 0.000 0.000
4 Ga 0.000 0.000 0.500
5 Hg 0.000 0.500 0.000

Summary:
Final energy ... -1.8596 eV per atom
Formation energy without anion corrections ... -143 meV/atom

***

Density functional theory data (GGA-PBE) for GaAuI2Br after structural relaxation.

a b c (Å): 5.549 5.605 5.549
angles (deg): 90.00 90.00 90.00
Element x y z (fractional)
1 I 0.500 0.000 0.000
2 I 0.000 0.000 0.500
3 Ga 0.000 0.500 0.000
4 Br 0.500 0.500 0.500
5 Au 0.000 0.000 0.000

Summary:
Final energy ... -2.1454 eV per atom
Formation energy without anion corrections ... 70 meV/atom

***

Density functional theory data (GGA-PBE) for GaAu2IBr after structural relaxation.

a b c (Å): 5.179 5.071 5.179
angles (deg): 90.00 90.00 90.00
Element x y z (fractional)
1 I 0.500 0.500 0.500
2 Br 0.000 0.500 0.000
3 Ga 0.000 0.000 0.000
4 Au 0.500 0.000 0.000
5 Au 0.000 0.000 0.500

Summary:
Final energy ... -2.2498 eV per atom
Formation energy without anion corrections ... 311 meV/atom

***

Density functional theory data (GGA-PBE) for KGa2AuBr8 after structural relaxation.

a b c (Å): 6.922 6.922 9.937
angles (deg): 90.00 90.00 120.00
Element x y z (fractional)
1 Br 0.320 0.987 0.681
2 Br 0.680 0.013 0.319
3 Ga 0.333 0.667 0.753
4 Br 0.013 0.332 0.681
5 Br 0.333 0.667 0.991
6 K 0.000 0.000 0.000
7 Br 0.987 0.668 0.319
8 Br 0.668 0.680 0.681
9 Au 0.000 0.000 0.500
10 Br 0.667 0.333 0.009
11 Br 0.332 0.320 0.319
12 Ga 0.667 0.333 0.247

Summary:
Final energy ... -2.8046 eV per atom
Formation energy without anion corrections ... -820 meV/atom

***

Density functional theory data (GGA-PBE) for La4GaAuBr2 after structural relaxation.

a b c (Å): 4.429 7.588 7.744
angles (deg): 70.61 90.00 90.00
Element x y z (fractional)
1 Au 0.500 0.500 0.000
2 La 0.500 0.263 0.742
3 Br 0.500 0.000 0.500
4 La 0.500 0.737 0.258
5 Br 0.000 0.000 0.000
6 Ga 0.000 0.500 0.500
7 La 0.000 0.266 0.247
8 La 0.000 0.734 0.753

Summary:
Final energy ... -4.6661 eV per atom
Formation energy without anion corrections ... -996 meV/atom